Zr6Ga10Tc | PBE-GGA | optimized geometry

Output
E in eV per cell: -98.69

The structure in POSCAR format:
```
Zr6Ga10Tc
1.0
8.106 0.000 0.000
-4.053 7.020 0.000
0.000 0.000 5.543
Zr Ga Tc
6 10 1
Direct
0.000 0.388 0.270
0.000 0.612 0.730
0.388 0.000 0.270
0.388 0.388 0.730
0.612 0.000 0.730
0.612 0.612 0.270
0.000 0.240 0.798
0.000 0.760 0.202
0.240 0.000 0.798
0.240 0.240 0.202
0.333 0.667 0.000
0.333 0.667 0.500
0.667 0.333 0.000
0.667 0.333 0.500
0.760 0.000 0.202
0.760 0.760 0.798
0.000 0.000 0.500
```

---

ZrGa2Tc | PBE-GGA | optimized geometry

Output
E in eV per cell: -49.87
Excess energy over the best structure of this formula in the dataset in eV/atom: 0.4020

The structure in POSCAR format:
```
ZrGa2Tc
1.0
-1.939 1.939 9.726
1.939 -1.939 9.726
1.939 1.939 -9.726
Zr Ga Tc
2 4 2
Direct
0.000 0.000 0.000
0.750 0.250 0.500
0.143 0.625 0.018
0.375 0.393 0.518
0.607 0.125 0.982
0.875 0.857 0.482
0.250 0.750 0.500
0.500 0.500 0.000
```

---

Zr8Ga2Tc | PBE-GGA | optimized geometry

Output
E in eV per cell: -87.47

The structure in POSCAR format:
```
Zr8Ga2Tc
1.0
-2.481 3.274 7.113
2.481 -3.274 7.113
2.481 3.274 -7.113
Zr Ga Tc
8 2 1
Direct
0.128 0.362 0.767
0.178 0.178 0.000
0.259 0.000 0.259
0.405 0.638 0.767
0.595 0.362 0.233
0.741 0.000 0.741
0.822 0.822 0.000
0.872 0.638 0.233
0.313 0.813 0.500
0.687 0.187 0.500
0.000 0.500 0.500
```

---

ZrGa3Tc | PBE-GGA | optimized geometry

Output
E in eV per cell: -21.92
Excess energy over the best structure of this formula in the dataset in eV/atom: 1.3797

The structure in POSCAR format:
```
ZrGa3Tc
1.0
5.087 0.000 0.000
0.000 5.087 0.000
0.000 0.000 5.087
Zr Ga Tc
1 3 1
Direct
0.000 0.000 0.000
0.000 0.000 0.500
0.000 0.500 0.000
0.500 0.000 0.000
0.500 0.500 0.500
```

---

ZrGa2Tc | PBE-GGA | optimized geometry

Output
E in eV per cell: -26.13
Excess energy over the best structure of this formula in the dataset in eV/atom: 0.1042

The structure in POSCAR format:
```
ZrGa2Tc
1.0
0.000 3.197 3.197
3.197 0.000 3.197
3.197 3.197 0.000
Zr Ga Tc
1 2 1
Direct
0.000 0.000 0.000
0.250 0.250 0.250
0.750 0.750 0.750
0.500 0.500 0.500
```

---

ZrGaTc | PBE-GGA | optimized geometry

Output
E in eV per cell: -45.68
Excess energy over the best structure of this formula in the dataset in eV/atom: 0.1751

The structure in POSCAR format:
```
ZrGaTc
1.0
4.299 -2.244 0.000
4.299 2.244 0.000
-1.306 0.000 5.368
Zr Ga Tc
2 2 2
Direct
0.000 0.000 0.000
0.718 0.718 0.371
0.047 0.047 0.512
0.330 0.330 0.745
0.378 0.378 0.234
0.661 0.661 0.855
```

---

ZrGaTc | PBE-GGA | optimized geometry

Output
E in eV per cell: -45.71
Excess energy over the best structure of this formula in the dataset in eV/atom: 0.1698

The structure in POSCAR format:
```
ZrGaTc
1.0
4.964 -1.746 0.000
4.964 1.746 0.000
-1.955 0.000 6.041
Zr Ga Tc
2 2 2
Direct
0.000 0.000 0.000
0.689 0.689 0.382
0.371 0.371 0.249
0.682 0.682 0.850
0.024 0.024 0.550
0.348 0.348 0.690
```

---

ZrGaTc4 | PBE-GGA | optimized geometry

Output
E in eV per cell: -53.43

The structure in POSCAR format:
```
ZrGaTc4
1.0
0.000 3.672 3.672
3.672 0.000 3.672
3.672 3.672 0.000
Zr Ga Tc
1 1 4
Direct
0.000 0.000 0.000
0.750 0.750 0.750
0.376 0.376 0.376
0.376 0.376 0.873
0.376 0.873 0.376
0.873 0.376 0.376
```

---

Zr2Ga4Tc | PBE-GGA | optimized geometry

Output
E in eV per cell: -41.93

The structure in POSCAR format:
```
Zr2Ga4Tc
1.0
0.000 3.959 4.150
3.945 0.000 4.150
3.945 3.959 0.000
Zr Ga Tc
2 4 1
Direct
0.000 0.000 0.500
0.500 0.500 0.000
0.001 0.499 0.501
0.499 0.001 0.999
0.501 0.999 0.499
0.999 0.501 0.001
0.500 0.500 0.500
```

---

ZrGa2Tc2 | PBE-GGA | optimized geometry

Output
E in eV per cell: -73.52
Excess energy over the best structure of this formula in the dataset in eV/atom: 0.0000

The structure in POSCAR format:
```
ZrGa2Tc2
1.0
7.084 0.000 0.000
0.000 7.084 0.000
0.000 0.000 3.199
Zr Ga Tc
2 4 4
Direct
0.000 0.000 0.000
0.500 0.500 0.000
0.129 0.371 0.000
0.371 0.871 0.000
0.629 0.129 0.000
0.871 0.629 0.000
0.167 0.667 0.500
0.333 0.167 0.500
0.667 0.833 0.500
0.833 0.333 0.500
```

---

ZrGa2Tc2 | PBE-GGA | optimized geometry

Output
E in eV per cell: -35.26
Excess energy over the best structure of this formula in the dataset in eV/atom: 0.2993

The structure in POSCAR format:
```
ZrGa2Tc2
1.0
-2.152 2.152 4.859
2.152 -2.152 4.859
2.152 2.152 -4.859
Zr Ga Tc
1 2 2
Direct
0.000 0.000 0.000
0.250 0.750 0.500
0.750 0.250 0.500
0.385 0.385 0.000
0.615 0.615 0.000
```

---

ZrGaTc | PBE-GGA | optimized geometry

Output
E in eV per cell: -45.86
Excess energy over the best structure of this formula in the dataset in eV/atom: 0.1457

The structure in POSCAR format:
```
ZrGaTc
1.0
4.910 -2.073 0.000
4.910 2.073 0.000
-0.166 0.000 5.344
Zr Ga Tc
2 2 2
Direct
0.000 0.000 0.000
0.581 0.581 0.500
0.267 0.267 0.726
0.883 0.883 0.490
0.285 0.285 0.239
0.713 0.713 0.031
```

---

| no. | theoretical density (g/cm3) |
| --- | --- |
| 1 | 7.07 |
| 2 | 7.46 |
| 3 | 6.95 |
| 4 | 5.03 |
| 5 | 8.35 |
| 6 | 8.30 |
| 7 | 8.22 |
| 8 | 9.27 |
| 9 | 7.16 |
| 10 | 8.83 |
| 11 | 7.87 |
| 12 | 7.91 |